VASP calculation (PBE-GGA) on an optimized crystal structure of Tb6ErIn5.

Cell: 9.321 9.321 9.321 Å, 146.98 130.63 60.69°
Sites, in units of the cell vectors:
Tb  0.071  0.329  0.743
Tb  0.237  0.000  0.237
Tb  0.414  0.671  0.743
Tb  0.586  0.329  0.257
Tb  0.763  0.000  0.763
Tb  0.929  0.671  0.257
Er  0.500  0.500  0.000
In  0.000  0.500  0.500
In  0.168  0.168  0.000
In  0.348  0.848  0.500
In  0.652  0.152  0.500
In  0.832  0.832  0.000

Output
The value obtained for the total moment is 0.0 μB per cell. For the formation energy, the calculation gives -376 meV per atom. The crystal system is orthorhombic. Its space group is Immm.

***

VASP calculation (PBE-GGA) on an optimized crystal structure of In3Ag4.

Cell: 3.714 3.714 21.061 Å, 90.00 90.00 90.00°
Sites, in units of the cell vectors:
In  0.000  0.000  0.000
In  0.000  0.000  0.293
In  0.000  0.000  0.707
In  0.500  0.500  0.207
In  0.500  0.500  0.500
In  0.500  0.500  0.793
Ag  0.000  0.000  0.140
Ag  0.000  0.000  0.429
Ag  0.000  0.000  0.571
Ag  0.000  0.000  0.860
Ag  0.500  0.500  0.071
Ag  0.500  0.500  0.360
Ag  0.500  0.500  0.640
Ag  0.500  0.500  0.929

Output
The value obtained for the total moment is 0.0 μB per cell. For the formation energy, the calculation gives 4 meV per atom. The crystal system is tetragonal. Its space group is I4/mmm.

***

VASP calculation (PBE-GGA) on an optimized crystal structure of Ba6Rh2I3F.

Cell: 7.824 7.824 9.007 Å, 98.39 98.39 119.85°
Sites, in units of the cell vectors:
Ba  0.103  0.435  0.805
Ba  0.231  0.231  0.197
Ba  0.435  0.103  0.805
Ba  0.565  0.897  0.195
Ba  0.769  0.769  0.803
Ba  0.897  0.565  0.195
Rh  0.167  0.833  0.000
Rh  0.833  0.167  0.000
I  0.000  0.000  0.500
I  0.331  0.669  0.500
I  0.669  0.331  0.500
F  0.500  0.500  0.000

Output
The value obtained for the total moment is 0.0 μB per cell. The value obtained for the total energy is -47.5 eV for the cell shown. The crystal system is monoclinic. Its space group is C2/m.

***

VASP calculation (PBE-GGA) on an optimized crystal structure of Sm2MgFe.

Cell: 3.506 3.506 31.589 Å, 90.00 90.00 120.00°
Sites, in units of the cell vectors:
Sm  0.000  0.000  0.107
Sm  0.000  0.000  0.893
Sm  0.333  0.667  0.559
Sm  0.333  0.667  0.774
Sm  0.667  0.333  0.226
Sm  0.667  0.333  0.441
Mg  0.000  0.000  0.000
Mg  0.333  0.667  0.667
Mg  0.667  0.333  0.333
Fe  0.000  0.000  0.500
Fe  0.333  0.667  0.167
Fe  0.667  0.333  0.833

Output
The value obtained for the total moment is 3.6 μB per cell. For the formation energy, the calculation gives 371 meV per atom. The crystal system is trigonal. Its space group is R-3m.

***

VASP calculation (PBE-GGA) on an optimized crystal structure of BaZn2Rh.

Cell: 7.088 7.088 7.088 Å, 90.00 90.00 90.00°
Sites, in units of the cell vectors:
Ba  0.000  0.000  0.000
Ba  0.000  0.500  0.500
Ba  0.500  0.000  0.500
Ba  0.500  0.500  0.000
Zn  0.250  0.250  0.250
Zn  0.250  0.250  0.750
Zn  0.250  0.750  0.250
Zn  0.250  0.750  0.750
Zn  0.750  0.250  0.250
Zn  0.750  0.250  0.750
Zn  0.750  0.750  0.250
Zn  0.750  0.750  0.750
Rh  0.000  0.000  0.500
Rh  0.000  0.500  0.000
Rh  0.500  0.000  0.000
Rh  0.500  0.500  0.500

Output
The value obtained for the total moment is 0.0 μB per cell. For the formation energy, the calculation gives 117 meV per atom. The crystal system is cubic. Its space group is Fm-3m.

***

VASP calculation (PBE-GGA) on an optimized crystal structure of CuPIr.

Cell: 2.776 4.830 12.473 Å, 90.00 90.00 90.00°
Sites, in units of the cell vectors:
Cu  0.000  0.000  0.000
Cu  0.000  0.500  0.500
Cu  0.500  0.000  0.500
Cu  0.500  0.500  0.000
P  0.000  0.000  0.336
P  0.000  0.500  0.836
P  0.500  0.000  0.836
P  0.500  0.500  0.336
Ir  0.000  0.000  0.681
Ir  0.000  0.500  0.181
Ir  0.500  0.000  0.181
Ir  0.500  0.500  0.681

Output
The value obtained for the total moment is 0.0 μB per cell. For the formation energy, the calculation gives 230 meV per atom. The crystal system is orthorhombic. Its space group is Fmm2.

***

VASP calculation (PBE-GGA) on an optimized crystal structure of YTl2.

Cell: 7.443 7.443 7.443 Å, 90.00 90.00 90.00°
Sites, in units of the cell vectors:
Y  0.000  0.000  0.000
Y  0.000  0.500  0.500
Y  0.500  0.000  0.500
Y  0.500  0.500  0.000
Tl  0.130  0.630  0.870
Tl  0.130  0.870  0.370
Tl  0.370  0.130  0.870
Tl  0.370  0.370  0.370
Tl  0.630  0.630  0.630
Tl  0.630  0.870  0.130
Tl  0.870  0.130  0.630
Tl  0.870  0.370  0.130

Output
The value obtained for the total moment is 0.0 μB per cell. For the formation energy, the calculation gives 222 meV per atom. The crystal system is cubic. Its space group is Pa-3.

***

Copy entry 6 word for word.
VASP calculation (PBE-GGA) on an optimized crystal structure of CuPIr.

Cell: 2.776 4.830 12.473 Å, 90.00 90.00 90.00°
Sites, in units of the cell vectors:
Cu  0.000  0.000  0.000
Cu  0.000  0.500  0.500
Cu  0.500  0.000  0.500
Cu  0.500  0.500  0.000
P  0.000  0.000  0.336
P  0.000  0.500  0.836
P  0.500  0.000  0.836
P  0.500  0.500  0.336
Ir  0.000  0.000  0.681
Ir  0.000  0.500  0.181
Ir  0.500  0.000  0.181
Ir  0.500  0.500  0.681

Output
The value obtained for the total moment is 0.0 μB per cell. For the formation energy, the calculation gives 230 meV per atom. The crystal system is orthorhombic. Its space group is Fmm2.